Here is an optimized crystal structure of Pr2Hg3Au from Alexandria. Energies are from PBE.

Structure (POSCAR):
```
Pr2Hg3Au
1.0
3.549 0.000 0.000
0.000 4.991 0.000
0.000 0.000 8.656
Pr Hg Au
2 3 1
direct
0.000 0.000 0.000
0.000 0.500 0.476
0.500 0.000 0.651
0.500 0.500 0.155
0.500 0.500 0.819
0.500 0.000 0.320
```

Values from the calculation:
For the calculated volume, the calculation gives 25.55 Å³ per atom. The density of states at the Fermi level comes out at 3.85 states/eV/cell. As for the formation energy: -0.52 eV/atom. The crystal system is orthorhombic. Its total DFT energy (no corrections) is -2.813 eV/atom. The total magnetization comes out at 0.00 μB/atom.

---

Here is an optimized crystal structure of Ce2Nd5Rh4 from Alexandria. Energies are from PBE.

Structure (POSCAR):
```
Ce2Nd5Rh4
1.0
10.637 -1.834 0.000
10.637 1.834 0.000
-0.414 0.000 7.801
Ce Nd Rh
2 5 4
direct
0.073 0.073 0.392
0.927 0.927 0.608
0.163 0.163 0.886
0.219 0.219 0.343
0.500 0.500 0.000
0.781 0.781 0.657
0.837 0.837 0.114
0.036 0.036 0.728
0.369 0.369 0.400
0.631 0.631 0.600
0.964 0.964 0.272
```

Values from the calculation:
For the calculated volume, the calculation gives 27.66 Å³ per atom. The density of states at the Fermi level comes out at 12.04 states/eV/cell. As for the formation energy: -0.32 eV/atom. The crystal system is monoclinic. Its total DFT energy (no corrections) is -6.237 eV/atom. The total magnetization comes out at 0.00 μB/atom.

---

Here is an optimized crystal structure of Pa3Te2As from Alexandria. Energies are from PBE.

Structure (POSCAR):
```
Pa3Te2As
1.0
3.650 -6.415 0.000
3.650 6.415 0.000
-2.505 0.000 7.018
Pa Te As
6 4 2
direct
0.070 0.420 0.768
0.218 0.218 0.218
0.420 0.070 0.768
0.580 0.930 0.232
0.782 0.782 0.782
0.930 0.580 0.232
0.000 0.000 0.500
0.344 0.656 0.500
0.500 0.500 0.000
0.656 0.344 0.500
0.171 0.829 0.000
0.829 0.171 0.000
```

Values from the calculation:
For the calculated volume, the calculation gives 27.38 Å³ per atom. The density of states at the Fermi level comes out at 26.55 states/eV/cell. The uncorrected formation energy is -0.76 eV/atom. The crystal system is monoclinic. Its total DFT energy (no corrections) is -7.327 eV/atom. The total magnetization comes out at 0.32 μB/atom. The value obtained for the distance to the lowest polymorph of the same formula is 0 meV/atom.

---

Here is an optimized crystal structure of CaAl2Br8 from Alexandria. Energies are from PBE.

Structure (POSCAR):
```
CaAl2Br8
1.0
9.571 -4.761 0.000
9.571 4.761 0.000
-7.683 0.000 9.942
Ca Al Br
2 4 16
direct
0.002 0.998 0.750
0.998 0.002 0.250
0.154 0.665 0.460
0.335 0.846 0.040
0.665 0.154 0.960
0.846 0.335 0.540
0.111 0.210 0.525
0.125 0.676 0.265
0.160 0.724 0.849
0.210 0.111 0.025
0.276 0.840 0.651
0.299 0.398 0.455
0.324 0.875 0.235
0.398 0.299 0.955
0.602 0.701 0.045
0.676 0.125 0.765
0.701 0.602 0.545
0.724 0.160 0.349
0.790 0.889 0.975
0.840 0.276 0.151
0.875 0.324 0.735
0.889 0.790 0.475
```

Values from the calculation:
For the calculated volume, the calculation gives 41.18 Å³ per atom. The density of states at the Fermi level comes out at 0.00 states/eV/cell. The uncorrected formation energy is -1.38 eV/atom. The crystal system is monoclinic. Its total DFT energy (no corrections) is -3.457 eV/atom. The total magnetization comes out at 0.00 μB/atom. The value obtained for the distance to the lowest polymorph of the same formula is 0 meV/atom.

---

Here is an optimized crystal structure of TbHoAg6 from Alexandria. Energies are from PBE.

Structure (POSCAR):
```
TbHoAg6
1.0
4.677 -2.246 0.000
4.677 2.246 0.000
-4.259 0.000 7.870
Tb Ho Ag
1 1 6
direct
0.000 0.000 0.000
0.000 0.000 0.500
0.250 0.250 0.873
0.251 0.251 0.377
0.499 0.499 0.251
0.501 0.501 0.749
0.749 0.749 0.623
0.750 0.750 0.127
```

Values from the calculation:
For the calculated volume, the calculation gives 20.66 Å³ per atom. The density of states at the Fermi level comes out at 4.66 states/eV/cell. As for the formation energy: -0.21 eV/atom. The crystal system is monoclinic. Its total DFT energy (no corrections) is -3.502 eV/atom. The total magnetization comes out at 0.00 μB/atom.

---

Here is an optimized crystal structure of La2ZnAu from Alexandria. Energies are from PBE.

Structure (POSCAR):
```
La2ZnAu
1.0
-4.057 4.057 3.717
4.057 -4.057 3.717
4.057 4.057 -3.717
La Zn Au
4 2 2
direct
0.115 0.625 0.990
0.375 0.365 0.490
0.635 0.125 0.010
0.875 0.885 0.510
0.250 0.750 0.500
0.500 0.500 0.000
0.000 0.000 0.000
0.750 0.250 0.500
```

Values from the calculation:
For the calculated volume, the calculation gives 30.59 Å³ per atom. The density of states at the Fermi level comes out at 12.94 states/eV/cell. As for the formation energy: -0.22 eV/atom. The crystal system is tetragonal. Its total DFT energy (no corrections) is -3.819 eV/atom. The total magnetization comes out at 0.00 μB/atom.

---

Question: The lowest total DFT energy (no corrections) belongs to which entry?
Answer: Pa3Te2As